1.
Material: Y3Fe2Si3
Method: DFT, GGA-PBE
State: relaxed

Values from the calculation:
- ΔE_f (raw) (eV/atom) = -0.67
- E (Ry/atom) = -0.5325

Lattice parameters (Å, degrees): 5.6644 5.6644 13.6163 90.00 90.00 137.76
With the nearest neighbours (Å) after each atom.
Atoms (fractional coordinates):
1 Y 0.0802 0.9198 0.6119  7 Si 2.95-3.24, 4 Fe 2.99-3.15
2 Y 0.0802 0.9198 0.8881  7 Si 2.95-3.24, 4 Fe 2.99-3.15
3 Y 0.3644 0.6356 0.7500  4 Si 2.85-2.86
4 Y 0.6356 0.3644 0.2500  4 Si 2.85-2.86
5 Y 0.9198 0.0802 0.1119  7 Si 2.95-3.24, 4 Fe 2.99-3.15
6 Y 0.9198 0.0802 0.3881  7 Si 2.95-3.24, 4 Fe 2.99-3.15
7 Fe 0.2156 0.7844 0.0805  4 Si 2.31-2.58
8 Fe 0.2156 0.7844 0.4195  4 Si 2.31-2.58
9 Fe 0.7844 0.2156 0.5805  4 Si 2.31-2.58
10 Fe 0.7844 0.2156 0.9195  4 Si 2.31-2.58
11 Si 0.3238 0.6762 0.2500  2 Fe 2.58, 2 Y 2.85
12 Si 0.3730 0.6270 0.5400  3 Fe 2.31-2.34
13 Si 0.3730 0.6270 0.9600  3 Fe 2.31-2.34
14 Si 0.6270 0.3730 0.0400  3 Fe 2.31-2.34
15 Si 0.6270 0.3730 0.4600  3 Fe 2.31-2.34
16 Si 0.6762 0.3238 0.7500  2 Fe 2.58, 2 Y 2.85

2.
Material: Y3Fe2Si4
Method: DFT, GGA-PBE
State: relaxed

Values from the calculation:
- ΔE_f (raw) (eV/atom) = -0.70
- E (Ry/atom) = -0.5253

Lattice parameters (Å, degrees): 5.6344 5.6344 7.8673 106.17 106.17 42.40
With the nearest neighbours (Å) after each atom.
Atoms (fractional coordinates):
1 Y 0.0000 0.0000 0.0000  8 Si 3.00-3.20
2 Y 0.3838 0.3838 0.3064  8 Si 2.90-3.20, 4 Fe 2.93-3.10
3 Y 0.6162 0.6162 0.6936  8 Si 2.90-3.20, 4 Fe 2.93-3.10
4 Fe 0.3118 0.3118 0.6389  4 Si 2.27-2.35
5 Fe 0.6882 0.6882 0.3611  4 Si 2.27-2.35
6 Si 0.1098 0.1098 0.4066  3 Fe 2.27-2.35
7 Si 0.2807 0.2807 0.9177  1 Fe 2.31
8 Si 0.7193 0.7193 0.0823  1 Fe 2.31
9 Si 0.8902 0.8902 0.5934  3 Fe 2.27-2.35

3.
Material: YFeSi2
Method: DFT, GGA-PBE
State: relaxed

Values from the calculation:
- ΔE_f (raw) (eV/atom) = -0.55
- E (Ry/atom) = -0.5137

Lattice parameters (Å, degrees): 5.6298 5.6298 5.6298 40.66 40.66 40.66
With the nearest neighbours (Å) after each atom.
Atoms (fractional coordinates):
1 Y 0.0000 0.0000 0.0000  7 Si 2.93-3.10, 4 Fe 2.94-3.17
2 Fe 0.1898 0.1898 0.1898  6 Si 2.29-2.42
3 Si 0.5458 0.5458 0.5458  3 Fe 2.29
4 Si 0.7997 0.7997 0.7997  3 Fe 2.42, 3 Si 2.57

4.
Material: Y3Fe7Si2
Method: DFT, GGA-PBE
State: relaxed

Values from the calculation:
- ΔE_f (raw) (eV/atom) = -0.32
- E (Ry/atom) = -0.5716

Lattice parameters (Å, degrees): 8.4165 8.4165 8.4165 35.71 35.71 35.71
With the nearest neighbours (Å) after each atom.
Atoms (fractional coordinates):
1 Y 0.0000 0.0000 0.0000  6 Si 2.98, 12 Fe 3.19
2 Y 0.1416 0.1416 0.1416  12 Fe 2.97-3.05, 3 Y 3.21
3 Y 0.8584 0.8584 0.8584  12 Fe 2.97-3.05, 3 Y 3.21
4 Fe 0.0835 0.5775 0.5775  2 Si 2.39-2.41, 5 Fe 2.53-2.61
5 Fe 0.4225 0.4225 0.9165  2 Si 2.39-2.41, 5 Fe 2.53-2.61
6 Fe 0.4225 0.9165 0.4225  2 Si 2.39-2.41, 5 Fe 2.53-2.61
7 Fe 0.5000 0.5000 0.5000  6 Fe 2.53
8 Fe 0.5775 0.0835 0.5775  2 Si 2.39-2.41, 5 Fe 2.53-2.61
9 Fe 0.5775 0.5775 0.0835  2 Si 2.39-2.41, 5 Fe 2.53-2.61
10 Fe 0.9165 0.4225 0.4225  2 Si 2.39-2.41, 5 Fe 2.53-2.61
11 Si 0.3322 0.3322 0.3322  6 Fe 2.39-2.41
12 Si 0.6678 0.6678 0.6678  6 Fe 2.39-2.41